Entry 1:
# RbBaGe3 GGA-PBEsol relaxed
# - Space group: Pm-3m
# - ΔE_f: 404 kJ/mol of formula units
# - V: 202.7 Å³/cell
data_RbBaGe3
_cell_length_a 5.874
_cell_length_b 5.874
_cell_length_c 5.874
_cell_angle_alpha 90.00
_cell_angle_beta 90.00
_cell_angle_gamma 90.00
_space_group_name_H-M_alt 'P 1'
_space_group_IT_number 1
loop_
_space_group_symop_operation_xyz
'x,y,z'
loop_
_atom_site_label
_atom_site_type_symbol
_atom_site_fract_x
_atom_site_fract_y
_atom_site_fract_z
Ba1 Ba 0.000 0.000 0.000
Rb1 Rb 0.500 0.500 0.500
Ge1 Ge 0.500 0.000 0.000
Ge2 Ge 0.000 0.000 0.500
Ge3 Ge 0.000 0.500 0.000

Entry 2:
# AgB2W GGA-PBEsol relaxed
# - Space group: I-42d
# - ΔE_f: 340 kJ/mol of formula units
# - V: 96.0 Å³/cell
data_AgB2W
_cell_length_a 4.998
_cell_length_b 4.998
_cell_length_c 4.998
_cell_angle_alpha 108.62
_cell_angle_beta 108.62
_cell_angle_gamma 111.19
_space_group_name_H-M_alt 'P 1'
_space_group_IT_number 1
loop_
_space_group_symop_operation_xyz
'x,y,z'
loop_
_atom_site_label
_atom_site_type_symbol
_atom_site_fract_x
_atom_site_fract_y
_atom_site_fract_z
B1 B 0.125 0.630 0.005
W1 W 0.000 0.000 0.000
W2 W 0.250 0.750 0.500
Ag1 Ag 0.750 0.250 0.500
B2 B 0.370 0.375 0.495
Ag2 Ag 0.500 0.500 0.000
B3 B 0.625 0.120 0.995
B4 B 0.880 0.875 0.505